Below is a geometry-optimized BaLiAl structure, with properties calculated at the PBE level.

abc: 5.2990 5.2990 3.7390
angles: 90.00 90.00 120.00
Fractional positions:
Ba (0.0000, 0.0000, 0.0000)
Li (0.6667, 0.3333, 0.5011)
Al (0.3333, 0.6667, 0.4996)

electronic total energy = -2.53 eV/atom
distance to the lowest polymorph of the same formula = 0.081 eV per atom
calculated formation energy = -0.001 eV per atom
space-group type = P3m1 (156)



Below is a geometry-optimized PuBP2O8 structure, with properties calculated at the PBE level.

abc: 4.8774 4.8774 6.3560
angles: 90.00 90.00 120.00
Fractional positions:
Pu (0.0000, 0.0000, 0.0000)
B (0.0000, 0.0000, 0.5000)
P (0.3333, 0.6667, 0.2672)
P (0.6667, 0.3333, 0.7328)
O (0.1582, 0.3164, 0.3355)
O (0.1582, 0.8418, 0.3355)
O (0.3164, 0.1582, 0.6645)
O (0.3333, 0.6667, 0.0241)
O (0.6667, 0.3333, 0.9759)
O (0.6836, 0.8418, 0.3355)
O (0.8418, 0.1582, 0.6645)
O (0.8418, 0.6836, 0.6645)

uncorrected formation energy = -2.10 eV per atom
electronic total energy = -8.06 eV/atom
space-group type = P-3m1 (164)



Below is a geometry-optimized Cd3Rh5 structure, with properties calculated at the PBE level.

abc: 8.0675 8.0675 4.9132
angles: 90.00 90.00 120.00
Fractional positions:
Cd (0.0000, 0.3949, 0.2500)
Cd (0.0000, 0.6051, 0.7500)
Cd (0.3949, 0.0000, 0.2500)
Cd (0.3949, 0.3949, 0.7500)
Cd (0.6051, 0.0000, 0.7500)
Cd (0.6051, 0.6051, 0.2500)
Rh (0.0000, 0.1928, 0.7500)
Rh (0.0000, 0.8072, 0.2500)
Rh (0.1928, 0.0000, 0.7500)
Rh (0.1928, 0.1928, 0.2500)
Rh (0.3333, 0.6667, 0.0000)
Rh (0.3333, 0.6667, 0.5000)
Rh (0.6667, 0.3333, 0.0000)
Rh (0.6667, 0.3333, 0.5000)
Rh (0.8072, 0.0000, 0.2500)
Rh (0.8072, 0.8072, 0.7500)

electronic total energy = -4.68 eV/atom
distance to the lowest polymorph of the same formula = 0.200 eV per atom
calculated formation energy = 0.262 eV per atom
space-group type = P6_3/mcm (193)



Below is a geometry-optimized Te3IBr structure, with properties calculated at the PBE level.

abc: 5.8736 5.8736 5.8736
angles: 90.00 90.00 90.00
Fractional positions:
Te (0.0000, 0.0000, 0.5000)
Te (0.0000, 0.5000, 0.0000)
Te (0.5000, 0.0000, 0.0000)
I (0.0000, 0.0000, 0.0000)
Br (0.5000, 0.5000, 0.5000)

uncorrected formation energy = 0.84 eV per atom
electronic total energy = -1.69 eV/atom
distance to the lowest polymorph of the same formula = 0.044 eV per atom
space-group type = Pm-3m (221)



Below is a geometry-optimized Li2AlAu structure, with properties calculated at the PBE level.

abc: 8.9470 8.9470 8.9470
angles: 18.97 18.97 18.97
Fractional positions:
Li (0.2472, 0.2472, 0.2472)
Li (0.7528, 0.7528, 0.7528)
Al (0.0000, 0.0000, 0.0000)
Au (0.5000, 0.5000, 0.5000)

electronic total energy = -2.91 eV/atom
calculated formation energy = -0.194 eV per atom
space-group type = R-3m (166)



Below is a geometry-optimized K2Rb2Se structure, with properties calculated at the PBE level.

abc: 8.7715 8.7715 7.4467
angles: 90.00 90.00 90.00
Fractional positions:
K (0.1770, 0.3230, 0.0000)
K (0.3230, 0.8230, 0.0000)
K (0.6770, 0.1770, 0.0000)
K (0.8230, 0.6770, 0.0000)
Rb (0.1876, 0.6876, 0.5000)
Rb (0.3124, 0.1876, 0.5000)
Rb (0.6876, 0.8124, 0.5000)
Rb (0.8124, 0.3124, 0.5000)
Se (0.0000, 0.0000, 0.0000)
Se (0.5000, 0.5000, 0.0000)

uncorrected formation energy = -0.43 eV per atom
electronic total energy = -1.95 eV/atom
distance to the lowest polymorph of the same formula = 0.000 eV per atom
space-group type = P4/mbm (127)



Below is a geometry-optimized KBaOs structure, with properties calculated at the PBE level.

abc: 5.3393 5.3393 5.3393
angles: 60.00 60.00 60.00
Fractional positions:
K (0.0000, 0.0000, 0.0000)
Ba (0.5000, 0.5000, 0.5000)
Os (0.2500, 0.2500, 0.2500)

electronic total energy = -3.48 eV/atom
distance to the lowest polymorph of the same formula = 0.149 eV per atom
calculated formation energy = 1.272 eV per atom
space-group type = F-43m (216)



Below is a geometry-optimized CeGa4Rh2 structure, with properties calculated at the PBE level.

abc: 7.3749 7.3749 4.5392
angles: 90.00 90.00 90.00
Fractional positions:
Ce (0.0000, 0.0000, 0.0000)
Ce (0.5000, 0.5000, 0.5000)
Ga (0.0858, 0.3353, 0.5000)
Ga (0.1647, 0.5858, 0.0000)
Ga (0.3353, 0.0858, 0.5000)
Ga (0.4142, 0.8353, 0.0000)
Ga (0.5858, 0.1647, 0.0000)
Ga (0.6647, 0.9142, 0.5000)
Ga (0.8353, 0.4142, 0.0000)
Ga (0.9142, 0.6647, 0.5000)
Rh (0.2432, 0.7568, 0.5000)
Rh (0.2568, 0.2568, 0.0000)
Rh (0.7432, 0.7432, 0.0000)
Rh (0.7568, 0.2432, 0.5000)

electronic total energy = -5.31 eV/atom
distance to the lowest polymorph of the same formula = 0.048 eV per atom
calculated formation energy = -0.636 eV per atom
space-group type = P4_2/mnm (136)